Entry 1:
Dy6SbIr2Se3 | PBE | optimized geometry

## Properties
- N(E_F): 4.74 states/eV/f.u.
- Formation energy from raw total energies: -1.31 eV/atom

a b c (Å): 18.300 4.089 8.476
angles (deg): 90.00 105.79 90.00
Space group C2/m (No. 12)
Inequivalent atoms, fractional coordinates:
1 Dy 0.012 0.000 0.264
2 Dy 0.174 0.500 0.116
3 Dy 0.174 0.500 0.574
4 Sb 0.000 0.500 0.000
5 Ir 0.170 0.000 0.341
6 Se 0.000 0.500 0.500
7 Se 0.161 0.000 0.840

Entry 2:
Rb2SnSbS4 | PBE | optimized geometry

## Properties
- N(E_F): 3.74 states/eV/f.u.
- Formation energy from raw total energies: -0.60 eV/atom

a b c (Å): 7.329 7.329 11.318
angles (deg): 90.00 90.00 90.00
Space group I-4 (No. 82)
Inequivalent atoms, fractional coordinates:
1 Rb 0.000 0.000 0.000
2 Rb 0.000 0.500 0.250
3 Sn 0.000 0.500 0.750
4 Sb 0.000 0.000 0.500
5 S 0.162 0.251 0.627

Entry 3:
Y2Ni | PBE | optimized geometry

## Properties
- N(E_F): 3.31 states/eV/f.u.

a b c (Å): 3.468 16.028 5.154
angles (deg): 90.00 90.00 90.00
Space group Cmcm (No. 63)
Inequivalent atoms, fractional coordinates:
1 Y 0.000 0.072 0.250
2 Y 0.000 0.210 0.750
3 Ni 0.000 0.430 0.250

Entry 4:
Y2Be | PBE | optimized geometry

## Properties
- N(E_F): 1.41 states/eV/f.u.

a b c (Å): 6.688 4.890 8.800
angles (deg): 90.00 90.00 90.00
Space group Pnma (No. 62)
Inequivalent atoms, fractional coordinates:
1 Y 0.012 0.250 0.183
2 Y 0.157 0.250 0.582
3 Be 0.231 0.250 0.903

Entry 5:
HRh2O2 | PBE | optimized geometry

## Properties
- N(E_F): 4.69 states/eV/f.u.

a b c (Å): 4.289 4.289 5.576
angles (deg): 90.00 90.00 90.00
Space group I4/mmm (No. 139)
Inequivalent atoms, fractional coordinates:
1 H 0.000 0.000 0.000
2 Rh 0.000 0.500 0.250
3 O 0.000 0.000 0.215

Entry 6:
Nd2CoC | PBE | optimized geometry

## Properties
- N(E_F): 2.62 states/eV/f.u.

a b c (Å): 3.677 5.336 8.520
angles (deg): 90.00 90.00 90.00
Space group Pmmn (No. 59, origin choice 2)
Inequivalent atoms, fractional coordinates:
1 Nd 0.250 0.250 0.053
2 Nd 0.250 0.750 0.376
3 Co 0.250 0.750 0.685
4 C 0.250 0.250 0.347

Entry 7:
AlFe3Rh | PBE | optimized geometry

## Properties
- N(E_F): 8.00 states/eV/f.u.

a b c (Å): 4.266 4.266 4.266
angles (deg): 90.00 90.00 90.00
Space group Pm-3m (No. 221)
Inequivalent atoms, fractional coordinates:
1 Al 0.000 0.000 0.000
2 Fe 0.000 0.000 0.500
3 Rh 0.500 0.500 0.500

Entry 8:
ZnNiIr | PBE | optimized geometry

## Properties
- N(E_F): 3.26 states/eV/f.u.

a b c (Å): 2.700 2.700 10.806
angles (deg): 90.00 90.00 90.00
Space group I4mm (No. 107)
Inequivalent atoms, fractional coordinates:
1 Zn 0.000 0.000 0.000
2 Ni 0.000 0.000 0.339
3 Ir 0.000 0.000 0.678

Entry 9:
CrTcN2 | PBE | optimized geometry

## Properties
- N(E_F): 2.96 states/eV/f.u.
- Formation energy from raw total energies: -0.18 eV/atom

a b c (Å): 4.558 4.558 8.683
angles (deg): 90.00 90.00 90.00
Space group I-42d (No. 122)
Inequivalent atoms, fractional coordinates:
1 Cr 0.000 0.000 0.000
2 Tc 0.000 0.000 0.500
3 N 0.231 0.250 0.125

What E values result from the calculations? In sequence: -6.300 -3.921 -6.436 -5.494 -5.705 -6.562 -6.178 -5.382 -9.339 eV per atom.